This record from the Alexandria database describes a relaxed LiVZnF6 crystal. The functional is GGA+U.

VASP energy (eV for the cell shown): -91.93
Density of states at the Fermi level (states/eV/cell): 0.0

Cell lengths 5.258, 5.258, 9.009 Å; angles 90.00, 90.00, 120.00 degrees
Fractional positions:
Li 0.000 0.000 0.000
Li 0.000 0.000 0.500
V 0.333 0.667 0.250
V 0.667 0.333 0.750
Zn 0.333 0.667 0.750
Zn 0.667 0.333 0.250
F 0.013 0.350 0.132
F 0.013 0.662 0.368
F 0.338 0.350 0.368
F 0.338 0.987 0.132
F 0.350 0.013 0.632
F 0.350 0.338 0.868
F 0.650 0.662 0.132
F 0.650 0.987 0.368
F 0.662 0.013 0.868
F 0.662 0.650 0.632
F 0.987 0.338 0.632
F 0.987 0.650 0.868